DFT (PBE+U) results for crystalline Li5CoO4 at its relaxed geometry.

final energy = -5.09 eV/atom
calculated density = 2.74 Mg/m³

Lattice parameters (Å, degrees): 7.1619 8.0091 6.6731 90.00 90.00 90.00
Space group Pnnm (No. 58)
Inequivalent atoms, fractional coordinates:
Li 0.0000 0.0000 0.2075 (multiplicity 4)
Li 0.0277 0.3438 0.2371 (multiplicity 8)
Li 0.2157 0.9137 0.5000 (multiplicity 4)
Li 0.2399 0.7063 0.0000 (multiplicity 4)
Co 0.2237 0.6068 0.5000 (multiplicity 4)
O 0.0162 0.7576 0.5000 (multiplicity 4)
O 0.0296 0.2008 0.0000 (multiplicity 4)
O 0.2163 0.5265 0.2384 (multiplicity 8)